# CaSbH2 | the Alexandria database | PBE | optimized geometry
data_CaSbH2
_space_group_name_H-M_alt 'P 1'
_space_group_IT_number 1
_space_group_name_Hall 'P 1'
_cell_length_a 4.4095
_cell_length_b 4.4095
_cell_length_c 4.4095
_cell_angle_alpha 60.00
_cell_angle_beta 60.00
_cell_angle_gamma 60.00
loop_
_atom_site_label
_atom_site_type_symbol
_atom_site_fract_x
_atom_site_fract_y
_atom_site_fract_z
Sb1 Sb 0.5000 0.5000 0.5000
Ca1 Ca 0.0000 0.0000 0.0000
H1 H 0.2500 0.2500 0.2500
H2 H 0.7500 0.7500 0.7500
# Spin magnetization = 0.000 μB/f.u.
# Space-group type = Fm-3m
# Energy relative to the lowest polymorph listed for this composition = 39.3 meV/atom
# E = -3.141 eV/atom
# Crystal system = cubic

***

# Ca6Sb3H | the Alexandria database | PBE | optimized geometry
data_Ca6Sb3H
_space_group_name_H-M_alt 'P 1'
_space_group_IT_number 1
_space_group_name_Hall 'P 1'
_cell_length_a 7.1986
_cell_length_b 9.6140
_cell_length_c 9.6140
_cell_angle_alpha 101.89
_cell_angle_beta 90.00
_cell_angle_gamma 90.00
loop_
_atom_site_label
_atom_site_type_symbol
_atom_site_fract_x
_atom_site_fract_y
_atom_site_fract_z
Ca1 Ca 0.1949 0.6860 0.6374
Ca2 Ca 0.6949 0.6374 0.6860
Ca3 Ca 0.1752 0.4190 0.8920
Ca4 Ca 0.6752 0.8920 0.4190
Ca5 Ca 0.1568 0.0460 0.9540
Ca6 Ca 0.6932 0.2228 0.7772
Ca7 Ca 0.1932 0.7772 0.2228
Ca8 Ca 0.6568 0.9540 0.0460
Ca9 Ca 0.1752 0.1080 0.5810
Ca10 Ca 0.6752 0.5810 0.1080
Ca11 Ca 0.1949 0.3626 0.3140
Ca12 Ca 0.6949 0.3140 0.3626
Sb1 Sb 0.4777 0.9313 0.7183
Sb2 Sb 0.9777 0.7183 0.9313
Sb3 Sb 0.4071 0.3886 0.6114
Sb4 Sb 0.9071 0.6114 0.3886
Sb5 Sb 0.9777 0.0687 0.2817
Sb6 Sb 0.4777 0.2817 0.0687
H1 H 0.0326 0.1937 0.8063
H2 H 0.5326 0.8063 0.1937
# Spin magnetization = 1.942 μB/f.u.
# Space-group type = Cmc2_1
# E = -3.528 eV/atom
# Crystal system = orthorhombic

***

# Ca3SbH | the Alexandria database | PBE | optimized geometry
data_Ca3SbH
_space_group_name_H-M_alt 'P 1'
_space_group_IT_number 1
_space_group_name_Hall 'P 1'
_cell_length_a 4.9321
_cell_length_b 4.9321
_cell_length_c 4.9321
_cell_angle_alpha 90.00
_cell_angle_beta 90.00
_cell_angle_gamma 90.00
loop_
_atom_site_label
_atom_site_type_symbol
_atom_site_fract_x
_atom_site_fract_y
_atom_site_fract_z
Sb1 Sb 0.5000 0.5000 0.5000
Ca1 Ca 0.0000 0.5000 0.0000
Ca2 Ca 0.0000 0.0000 0.5000
Ca3 Ca 0.5000 0.0000 0.0000
H1 H 0.0000 0.0000 0.0000
# Spin magnetization = 0.000 μB/f.u.
# Space-group type = Pm-3m
# Energy relative to the lowest polymorph listed for this composition = 126.4 meV/atom
# E = -3.204 eV/atom
# Crystal system = cubic

***

# Ca2SbH6 | the Alexandria database | PBE | optimized geometry
data_Ca2SbH6
_space_group_name_H-M_alt 'P 1'
_space_group_IT_number 1
_space_group_name_Hall 'P 1'
_cell_length_a 5.3744
_cell_length_b 5.3744
_cell_length_c 5.3744
_cell_angle_alpha 60.00
_cell_angle_beta 60.00
_cell_angle_gamma 60.00
loop_
_atom_site_label
_atom_site_type_symbol
_atom_site_fract_x
_atom_site_fract_y
_atom_site_fract_z
Ca1 Ca 0.7500 0.7500 0.7500
Ca2 Ca 0.2500 0.2500 0.2500
Sb1 Sb 0.0000 0.0000 0.0000
H1 H 0.2906 0.7094 0.7094
H2 H 0.7094 0.7094 0.2906
H3 H 0.7094 0.2906 0.7094
H4 H 0.7094 0.2906 0.2906
H5 H 0.2906 0.2906 0.7094
H6 H 0.2906 0.7094 0.2906
# Spin magnetization = 0.000 μB/f.u.
# Space-group type = Fm-3m
# E = -2.910 eV/atom
# Crystal system = cubic